Material: Y4GeB2
Method: DFT, PBE
State: optimized geometry

Output
Energy relative to the elements, eV/atom: -0.014
Magnetization, Bohr magnetons per cell: 0.00
Space group: I4/mmm

Cell: 5.448 5.448 7.235 Å, 67.88 67.88 90.00°
Fractional positions:
Y 0.766 0.766 0.468
Y 0.234 0.234 0.532
Y 0.500 0.000 0.000
Y 0.000 0.500 0.000
Ge 0.000 0.000 0.000
B 0.564 0.564 0.872
B 0.436 0.436 0.128